Record 1
Here is Zr3TiHg after structural relaxation from the Alexandria database. Energies are from GGA-PBE.

a b c (Å): 5.2526 5.2526 5.2526
angles (deg): 90.00 90.00 90.00
Sites, in units of the cell vectors:
Hg 0.0000 0.0000 0.0000
Zr 0.0000 0.5000 0.0000
Zr 0.0000 0.0000 0.5000
Zr 0.5000 0.0000 0.0000
Ti 0.5000 0.5000 0.5000

**V**: 29.0 Å³ per atom
**Formation energy from the elements**: 1.169 eV per atom
**Electronic total energy**: -5.60 eV per atom

Record 2
Here is CrAsPt after structural relaxation from the Alexandria database. Energies are from GGA-PBE.

a b c (Å): 2.8335 4.4263 9.8151
angles (deg): 99.22 81.70 71.33
Sites, in units of the cell vectors:
As 0.8757 0.9123 0.3362
As 0.1243 0.0877 0.6638
Pt 0.0837 0.7608 0.0719
Pt 0.9163 0.2392 0.9281
Cr 0.2557 0.2809 0.2076
Cr 0.7443 0.7191 0.7924

**V**: 18.8 Å³ per atom
**Formation energy from the elements**: 0.055 eV per atom
**Electronic total energy**: -6.72 eV per atom

Record 3
Here is Y2Co2B2C after structural relaxation from the Alexandria database. Energies are from GGA-PBE.

a b c (Å): 3.5513 5.3805 5.6071
angles (deg): 70.47 71.54 70.73
Sites, in units of the cell vectors:
Y 0.5627 0.1927 0.6818
Y 0.4373 0.8073 0.3182
Co 0.2040 0.6825 0.9095
Co 0.7960 0.3175 0.0905
B 0.1902 0.3759 0.2438
B 0.8098 0.6241 0.7562
C 0.0000 0.0000 0.0000

**V**: 13.2 Å³ per atom
**Formation energy from the elements**: -0.430 eV per atom
**Electronic total energy**: -7.53 eV per atom

Record 4
Here is La2HgH2 after structural relaxation from the Alexandria database. Energies are from GGA-PBE.

a b c (Å): 7.5971 7.5971 3.3328
angles (deg): 90.00 90.00 90.00
Sites, in units of the cell vectors:
H 0.3908 0.8908 0.0000
H 0.8908 0.6092 0.0000
H 0.6092 0.1092 0.0000
H 0.1092 0.3908 0.0000
Hg 0.0000 0.0000 0.0000
Hg 0.5000 0.5000 0.0000
La 0.1639 0.6639 0.5000
La 0.6639 0.8361 0.5000
La 0.8361 0.3361 0.5000
La 0.3361 0.1639 0.5000

**V**: 19.2 Å³ per atom
**Electronic total energy**: -3.64 eV per atom

Record 5
Here is Ho2GaTe after structural relaxation from the Alexandria database. Energies are from GGA-PBE.

a b c (Å): 4.1323 4.3497 11.8357
angles (deg): 100.59 90.00 90.00
Sites, in units of the cell vectors:
Ho 0.7500 0.6655 0.3311
Ho 0.2500 0.3345 0.6689
Ho 0.7500 0.9382 0.8765
Ho 0.2500 0.0618 0.1235
Ga 0.2500 0.4619 0.9238
Ga 0.7500 0.5381 0.0762
Te 0.2500 0.1947 0.3894
Te 0.7500 0.8053 0.6106

**V**: 26.1 Å³ per atom
**ΔE_f (raw)**: -0.996 eV/atom
**Electronic total energy**: -4.83 eV per atom

Record 6
Here is Gd2TmI after structural relaxation from the Alexandria database. Energies are from GGA-PBE.

a b c (Å): 3.7593 3.7593 10.7118
angles (deg): 79.89 79.89 60.00
Sites, in units of the cell vectors:
Gd 0.7460 0.7460 0.7620
Gd 0.2540 0.2540 0.2380
I 0.0000 0.0000 0.0000
Tm 0.5000 0.5000 0.5000

**V**: 32.1 Å³ per atom
**ΔE_f (raw)**: -0.362 eV/atom
**Electronic total energy**: -8.91 eV per atom

Record 7
Here is HWI2N after structural relaxation from the Alexandria database. Energies are from GGA-PBE.

a b c (Å): 5.5882 5.5882 3.8454
angles (deg): 90.00 90.00 90.00
Sites, in units of the cell vectors:
I 0.0000 0.5000 0.0000
I 0.5000 0.0000 0.0000
H 0.5000 0.5000 0.5000
W 0.0000 0.0000 0.0000
N 0.0000 0.0000 0.5000

**V**: 24.0 Å³ per atom
**Electronic total energy**: -4.87 eV per atom

Record 8
Here is ErBOs after structural relaxation from the Alexandria database. Energies are from GGA-PBE.

a b c (Å): 4.2283 3.6546 3.6546
angles (deg): 120.00 90.00 90.00
Sites, in units of the cell vectors:
B 0.1666 0.6667 0.3333
Os 0.1667 0.0000 0.0000
Er 0.6667 0.3333 0.6667

**V**: 16.3 Å³ per atom
**Formation energy from the elements**: -0.405 eV per atom
**Electronic total energy**: -7.89 eV per atom

Record 9
Here is NdSn2Bi after structural relaxation from the Alexandria database. Energies are from GGA-PBE.

a b c (Å): 5.2825 5.2825 8.1953
angles (deg): 71.20 71.20 60.00
Sites, in units of the cell vectors:
Nd 0.5000 0.5000 0.5000
Bi 0.0000 0.0000 0.0000
Sn 0.1253 0.1253 0.6242
Sn 0.8747 0.8747 0.3758

**V**: 46.0 Å³ per atom
**Formation energy from the elements**: 0.294 eV per atom
**Electronic total energy**: -3.87 eV per atom

Record 10
Here is Rb3TaTl after structural relaxation from the Alexandria database. Energies are from GGA-PBE.

a b c (Å): 6.9471 6.9471 6.9471
angles (deg): 90.00 90.00 90.00
Sites, in units of the cell vectors:
Tl 0.5000 0.5000 0.5000
Rb 0.0000 0.5000 0.0000
Rb 0.0000 0.0000 0.5000
Rb 0.5000 0.0000 0.0000
Ta 0.0000 0.0000 0.0000

**V**: 67.1 Å³ per atom
**Formation energy from the elements**: 1.389 eV per atom
**Electronic total energy**: -2.04 eV per atom

Record 11
Here is ScFe5As3 after structural relaxation from the Alexandria database. Energies are from GGA-PBE.

a b c (Å): 3.8931 6.7011 10.2300
angles (deg): 90.00 90.00 106.89
Sites, in units of the cell vectors:
Sc 0.7557 0.5114 0.7500
Sc 0.2443 0.4886 0.2500
Fe 0.8138 0.6277 0.4512
Fe 0.1862 0.3723 0.9512
Fe 0.0000 0.0000 0.5000
Fe 0.0000 0.0000 0.0000
Fe 0.4537 0.9074 0.1289
Fe 0.5463 0.0926 0.8711
Fe 0.5463 0.0926 0.6289
Fe 0.8138 0.6277 0.0488
Fe 0.1862 0.3723 0.5488
Fe 0.4537 0.9074 0.3711
As 0.3650 0.7300 0.9245
As 0.9064 0.8128 0.2500
As 0.3650 0.7300 0.5755
As 0.6350 0.2700 0.4245
As 0.0936 0.1872 0.7500
As 0.6350 0.2700 0.0755

**V**: 14.2 Å³ per atom
**Formation energy from the elements**: -0.276 eV per atom
**Electronic total energy**: -7.23 eV per atom

Record 12
Here is RbTlSb2Au after structural relaxation from the Alexandria database. Energies are from GGA-PBE.

a b c (Å): 5.8771 5.3937 5.8771
angles (deg): 90.00 90.00 90.00
Sites, in units of the cell vectors:
Sb 0.0000 0.0000 0.5000
Sb 0.5000 0.0000 0.0000
Tl 0.0000 0.0000 0.0000
Au 0.0000 0.5000 0.0000
Rb 0.5000 0.5000 0.5000

**V**: 37.3 Å³ per atom
**ΔE_f (raw)**: 0.344 eV/atom
**Electronic total energy**: -2.63 eV per atom

In states/eV/cell, the D(E_F) values for the records above are, in order, 6.28 4.69 3.07 9.82 5.45 7.33 1.96 1.43 2.36 8.39 12.74 4.96.